[1]
This record from OQMD via LeMat-Bulk describes YErGa2Br2 after structural relaxation. The functional is PBE-GGA.

Cell: 4.116 4.116 11.214 Å, 90.00 90.00 120.00°
Fractional coordinates of all 6 atoms:
Y 0.000 0.000 0.000
Er 0.000 0.000 0.363
Ga 0.333 0.667 0.214
Ga 0.667 0.333 0.153
Br 0.333 0.667 0.842
Br 0.667 0.333 0.519

[2]
This record from OQMD via LeMat-Bulk describes LiGdAsO after structural relaxation. The functional is PBE-GGA.

Calculated values
The calculation puts the energy above the lowest structure with this stoichiometry at 94 kJ/mol of formula units.

Cell: 4.155 4.135 7.151 Å, 90.00 90.00 90.00°
Fractional coordinates of all 8 atoms:
Li 0.000 0.249 0.000
Li 0.000 0.751 0.500
Gd 0.500 0.250 0.667
Gd 0.500 0.750 0.167
As 0.000 0.250 0.334
As 0.000 0.750 0.834
O 0.500 0.250 0.001
O 0.500 0.750 0.501

[3]
This record from OQMD via LeMat-Bulk describes TlWAu3S4 after structural relaxation. The functional is PBE-GGA.

Cell: 6.226 6.226 6.226 Å, 90.00 90.00 90.00°
Fractional coordinates of all 9 atoms:
Tl 0.000 0.000 0.000
W 0.500 0.500 0.500
Au 0.000 0.500 0.500
Au 0.500 0.000 0.500
Au 0.500 0.500 0.000
S 0.286 0.286 0.286
S 0.286 0.714 0.714
S 0.714 0.286 0.714
S 0.714 0.714 0.286

Energy in eV per atom, matching the order above: -4.61 -5.66 -4.58